(1)
Here is PIrRu2 at its PBEsol-relaxed geometry from Alexandria. Energies are from SCAN.

```
PIrRu2
1.0
2.796 0.000 0.000
0.000 2.796 0.000
0.000 0.000 6.667
Ru P Ir
2 1 1
direct
0.000 0.000 0.964
0.500 0.500 0.245
0.500 0.500 0.759
0.000 0.000 0.533
```

Output
* crystal system: tetragonal
* raw total energy: -151.15 eV for the cell shown
* volume: 13.03 Å³ per atom
* density: 13550 kg/m3
* space-group type: P4mm (99)



(2)
Here is K2ZnIr at its PBEsol-relaxed geometry from Alexandria. Energies are from SCAN.

```
K2ZnIr
1.0
-2.838 2.850 1.460
-1.817 -3.685 3.662
5.450 1.946 0.526
Zn K Ir
1 2 1
direct
0.568 0.568 0.137
0.976 0.976 0.952
0.778 0.278 0.557
0.177 0.677 0.354
```

Output
* crystal system: orthorhombic
* raw total energy: -99.80 eV for the cell shown
* volume: 27.37 Å³ per atom
* density: 5093 kg/m3
* space-group type: Imm2 (44)



(3)
Here is ZnIn3Rh at its PBEsol-relaxed geometry from Alexandria. Energies are from SCAN.

```
ZnIn3Rh
1.0
-4.215 -1.482 1.964
1.877 -4.455 0.667
1.591 1.331 4.418
Zn In Rh
1 3 1
direct
0.000 0.000 0.000
0.000 0.500 0.000
0.500 0.000 0.000
0.000 0.000 0.500
0.500 0.500 0.500
```

Output
* crystal system: cubic
* raw total energy: -143.58 eV for the cell shown
* volume: 23.25 Å³ per atom
* density: 7325 kg/m3
* space-group type: Pm-3m (221)



(4)
Here is TlH2Pd2 at its PBEsol-relaxed geometry from Alexandria. Energies are from SCAN.

```
TlH2Pd2
1.0
3.411 0.000 0.000
0.000 3.411 0.000
-1.705 -1.705 4.991
Pd Tl H
2 1 2
direct
0.335 0.335 0.669
0.665 0.665 0.331
0.000 0.000 0.000
0.750 0.250 0.500
0.250 0.750 0.500
```

Output
* crystal system: tetragonal
* raw total energy: -145.06 eV for the cell shown
* volume: 11.61 Å³ per atom
* density: 11991 kg/m3
* space-group type: I4/mmm (139)